# 1
# KSnHg2Pd (GGA-PBE, relaxed)
# uncorrected energy = -11.81 eV per formula unit
# ρ = 7.33 Mg/m³
# V = 30.15 Å³/atom
# formation enthalpy at 0 K = -0.182 eV/atom
data_KSnHg2Pd
_chemical_formula_sum 'K1 Sn1 Hg2 Pd1'
_symmetry_space_group_name_H-M 'P 4/m m m'
_symmetry_Int_Tables_number 123
_symmetry_space_group_name_Hall '-P 4 2'
_cell_length_a 5.394
_cell_length_b 5.394
_cell_length_c 5.183
_cell_angle_alpha 90.00
_cell_angle_beta 90.00
_cell_angle_gamma 90.00
loop_
_atom_site_label
_atom_site_type_symbol
_atom_site_fract_x
_atom_site_fract_y
_atom_site_fract_z
K1 K 0.000 0.000 0.000
Sn1 Sn 0.500 0.500 0.000
Hg1 Hg 0.000 0.500 0.500
Pd1 Pd 0.500 0.500 0.500



# 2
# AlPt2Br (GGA-PBE, relaxed)
# uncorrected energy = -18.67 eV per formula unit
# ρ = 11.73 Mg/m³
# V = 17.58 Å³/atom
# polymorph energy (0 for the lowest one) = 0.585 eV/f.u.
# ΔE_f (raw) = -0.29 eV/atom
data_AlPt2Br
_chemical_formula_sum 'Al3 Pt6 Br3'
_symmetry_space_group_name_H-M 'R -3 m'
_symmetry_Int_Tables_number 166
_symmetry_space_group_name_Hall '-R 3 2"'
_cell_length_a 2.9921
_cell_length_b 2.9921
_cell_length_c 27.2152
_cell_angle_alpha 90.00
_cell_angle_beta 90.00
_cell_angle_gamma 120.00
loop_
_atom_site_label
_atom_site_type_symbol
_atom_site_fract_x
_atom_site_fract_y
_atom_site_fract_z
Al1 Al 0.0000 0.0000 0.0000
Pt1 Pt 0.0000 0.0000 0.2657
Br1 Br 0.0000 0.0000 0.5000



# 3
# NiIrRu2 (GGA-PBE, relaxed)
# uncorrected energy = -28.52 eV per formula unit
# ρ = 9.66 Mg/m³
# V = 19.47 Å³/atom
# polymorph energy (0 for the lowest one) = 4.523 eV/f.u.
# formation enthalpy at 0 K = 1.169 eV/atom
data_NiIrRu2
_chemical_formula_sum 'Ni4 Ir4 Ru8'
_symmetry_space_group_name_H-M 'I -4 2 d'
_symmetry_Int_Tables_number 122
_symmetry_space_group_name_Hall 'I -4 2bw'
_cell_length_a 5.376
_cell_length_b 5.376
_cell_length_c 10.775
_cell_angle_alpha 90.00
_cell_angle_beta 90.00
_cell_angle_gamma 90.00
loop_
_atom_site_label
_atom_site_type_symbol
_atom_site_fract_x
_atom_site_fract_y
_atom_site_fract_z
Ni1 Ni 0.000 0.000 0.000
Ir1 Ir 0.000 0.000 0.500
Ru1 Ru 0.237 0.250 0.125



# 4
# Rb2UH4 (GGA-PBE, relaxed)
# uncorrected energy = -25.76 eV per formula unit
# ρ = 4.60 Mg/m³
# V = 21.31 Å³/atom
data_Rb2UH4
_chemical_formula_sum 'Rb4 U2 H8'
_symmetry_space_group_name_H-M 'I 4/m m m'
_symmetry_Int_Tables_number 139
_symmetry_space_group_name_Hall '-I 4 2'
_cell_length_a 4.405
_cell_length_b 4.405
_cell_length_c 15.376
_cell_angle_alpha 90.00
_cell_angle_beta 90.00
_cell_angle_gamma 90.00
loop_
_atom_site_label
_atom_site_type_symbol
_atom_site_fract_x
_atom_site_fract_y
_atom_site_fract_z
Rb1 Rb 0.000 0.000 0.158
U1 U 0.000 0.000 0.500
H1 H 0.000 0.000 0.350
H2 H 0.000 0.500 0.000



# 5
# K5PuS4 (GGA-PBE, relaxed)
# uncorrected energy = -47.77 eV per formula unit
# ρ = 2.94 Mg/m³
# V = 32.09 Å³/atom
# ΔE_f (raw) = -1.14 eV/atom
data_K5PuS4
_chemical_formula_sum 'K10 Pu2 S8'
_symmetry_space_group_name_H-M 'C 1 2/m 1'
_symmetry_Int_Tables_number 12
_cell_length_a 19.162
_cell_length_b 4.514
_cell_length_c 8.209
_cell_angle_alpha 90.00
_cell_angle_beta 115.30
_cell_angle_gamma 90.00
loop_
_symmetry_equiv_pos_as_xyz
'x,y,z'
'-x,-y,-z'
'-x,y,-z'
'x,-y,z'
'x+1/2,y+1/2,z'
'-x+1/2,-y+1/2,-z'
'-x+1/2,y+1/2,-z'
'x+1/2,-y+1/2,z'
loop_
_atom_site_label
_atom_site_type_symbol
_atom_site_fract_x
_atom_site_fract_y
_atom_site_fract_z
K1 K 0.000 0.000 0.000
K2 K 0.172 0.500 0.919
K3 K 0.173 0.500 0.427
Pu1 Pu 0.000 0.000 0.500
S1 S 0.000 0.500 0.277
S2 S 0.173 0.000 0.673



# 6
# CaAlGa2Cu5 (GGA-PBE, relaxed)
# uncorrected energy = -31.38 eV per formula unit
# ρ = 5.78 Mg/m³
# V = 16.74 Å³/atom
# formation enthalpy at 0 K = 0.100 eV/atom
data_CaAlGa2Cu5
_chemical_formula_sum 'Ca1 Al1 Ga2 Cu5'
_symmetry_space_group_name_H-M 'P 4/m m m'
_symmetry_Int_Tables_number 123
_symmetry_space_group_name_Hall '-P 4 2'
_cell_length_a 4.572
_cell_length_b 4.572
_cell_length_c 7.204
_cell_angle_alpha 90.00
_cell_angle_beta 90.00
_cell_angle_gamma 90.00
loop_
_atom_site_label
_atom_site_type_symbol
_atom_site_fract_x
_atom_site_fract_y
_atom_site_fract_z
Ca1 Ca 0.000 0.000 0.000
Al1 Al 0.000 0.000 0.500
Ga1 Ga 0.500 0.500 0.334
Cu1 Cu 0.000 0.500 0.244
Cu2 Cu 0.500 0.500 0.000



# 7
# KTe2Se2 (GGA-PBE, relaxed)
# uncorrected energy = -16.08 eV per formula unit
# ρ = 4.37 Mg/m³
# V = 34.36 Å³/atom
# polymorph energy (0 for the lowest one) = 0.000 eV/f.u.
# ΔE_f (raw) = -0.35 eV/atom
data_KTe2Se2
_chemical_formula_sum 'K2 Te4 Se4'
_symmetry_space_group_name_H-M 'P -1'
_symmetry_Int_Tables_number 2
_cell_length_a 6.090
_cell_length_b 7.508
_cell_length_c 8.841
_cell_angle_alpha 89.15
_cell_angle_beta 69.89
_cell_angle_gamma 66.16
loop_
_symmetry_equiv_pos_as_xyz
'x,y,z'
'-x,-y,-z'
loop_
_atom_site_label
_atom_site_type_symbol
_atom_site_fract_x
_atom_site_fract_y
_atom_site_fract_z
K1 K 0.000 0.250 0.250
Te1 Te 0.284 0.206 0.725
Te2 Te 0.284 0.707 0.226
Se1 Se 0.378 0.299 0.445
Se2 Se 0.378 0.800 0.945



# 8
# Dy2YCo6 (GGA-PBE, relaxed)
# uncorrected energy = -59.93 eV per formula unit
# ρ = 8.21 Mg/m³
# V = 17.25 Å³/atom
# formation enthalpy at 0 K = -0.181 eV/atom
data_Dy2YCo6
_chemical_formula_sum 'Dy2 Y1 Co6'
_symmetry_space_group_name_H-M 'P 6/m m m'
_symmetry_Int_Tables_number 191
_symmetry_space_group_name_Hall '-P 6 2'
_cell_length_a 6.6586
_cell_length_b 6.6586
_cell_length_c 4.0421
_cell_angle_alpha 90.00
_cell_angle_beta 90.00
_cell_angle_gamma 120.00
loop_
_atom_site_label
_atom_site_type_symbol
_atom_site_fract_x
_atom_site_fract_y
_atom_site_fract_z
Dy1 Dy 0.3333 0.6667 0.0000
Y1 Y 0.0000 0.0000 0.0000
Co1 Co 0.0000 0.3336 0.5000